# Te2PbCl | the Alexandria database | SCAN | single point on PBEsol structure
data_Te2PbCl
_cell_length_a 4.251
_cell_length_b 4.251
_cell_length_c 7.460
_cell_angle_alpha 90.00
_cell_angle_beta 90.00
_cell_angle_gamma 90.00
_symmetry_space_group_name_H-M 'P 4 m m'
_symmetry_Int_Tables_number 99
_symmetry_space_group_name_Hall 'P 4 -2'
loop_
_atom_site_label
_atom_site_type_symbol
_atom_site_fract_x
_atom_site_fract_y
_atom_site_fract_z
Te1 Te 0.000 0.000 0.000
Te2 Te 0.500 0.500 0.050
Pb1 Pb 0.000 0.000 0.594
Cl1 Cl 0.500 0.500 0.573
# E above lowest polymorph in meV/atom: 0.0
# DOS(E_F) in states/eV/atom: 0.312
# Crystal system: tetragonal
# DFT total energy in eV for the cell shown: -159.69
# Raw formation energy in eV/atom: -0.356